# Ti2CrBi

A geometry-optimized Ti2CrBi structure (PBE, Alexandria via LeMat-Bulk).

For the formation energy, the calculation gives 0.552 eV per atom. Its uncorrected energy is -6.7715 eV/atom. The value obtained for the energy above the most stable polymorph in this dataset is 1.228 eV per formula unit.

It has space group I-42d (No. 122), with a = 4.037 Å, b = 4.037 Å, c = 19.880 Å, α = 90.00°, β = 90.00° and γ = 90.00°. The distinct sites, in fractional coordinates, are Ti at (0.243, 0.250, 0.125), Cr at (0.000, 0.000, 0.000) and Bi at (0.000, 0.000, 0.500).